No. 1
DFT (GGA-PBEsol) results for an optimized crystal structure of V2O5.

Values from the calculation:
* total energy: -0.32123 Ha/atom
* symmetry: Cmcm, No. 63

Cell: 5.490 5.490 11.384 Å, 90.00 90.00 142.46°
Element x y z (fractional)
V: 0.204 0.796 0.604
V: 0.204 0.796 0.896
V: 0.796 0.204 0.104
V: 0.796 0.204 0.396
O: 0.053 0.947 0.616
O: 0.053 0.947 0.884
O: 0.251 0.749 0.068
O: 0.251 0.749 0.432
O: 0.264 0.736 0.750
O: 0.736 0.264 0.250
O: 0.749 0.251 0.568
O: 0.749 0.251 0.932
O: 0.947 0.053 0.116
O: 0.947 0.053 0.384

No. 2
DFT (GGA-PBEsol) results for an optimized crystal structure of Mg5Tl3.

Values from the calculation:
* total energy: -0.07854 Ha/atom
* formation energy from the elements: -0.08 eV per atom
* symmetry: Cmmm, No. 65

Cell: 6.305 6.305 4.683 Å, 90.00 90.00 97.44°
Element x y z (fractional)
Mg: 0.000 0.000 0.000
Mg: 0.000 0.500 0.000
Mg: 0.276 0.276 0.500
Mg: 0.500 0.000 0.000
Mg: 0.724 0.724 0.500
Tl: 0.219 0.781 0.500
Tl: 0.500 0.500 0.000
Tl: 0.781 0.219 0.500

No. 3
DFT (GGA-PBEsol) results for an optimized crystal structure of CdAg2Sb.

Values from the calculation:
* total energy: -0.11135 Ha/atom
* symmetry: Cm, No. 8

Cell: 5.211 5.211 5.261 Å, 99.63 99.63 34.54°
Element x y z (fractional)
Cd: 0.000 0.000 0.000
Ag: 0.482 0.482 0.462
Ag: 0.747 0.747 0.206
Sb: 0.233 0.233 0.690

No. 4
DFT (GGA-PBEsol) results for an optimized crystal structure of TaSnH3.

Values from the calculation:
* total energy: -0.15264 Ha/atom
* symmetry: Pm-3m, No. 221

Cell: 3.738 3.738 3.738 Å, 90.00 90.00 90.00°
Element x y z (fractional)
Ta: 0.000 0.000 0.000
Sn: 0.500 0.500 0.500
H: 0.000 0.500 0.500
H: 0.500 0.000 0.500
H: 0.500 0.500 0.000

No. 5
DFT (GGA-PBEsol) results for an optimized crystal structure of ScTl2Br.

Values from the calculation:
* total energy: -0.13460 Ha/atom
* symmetry: I4/mmm, No. 139

Cell: 6.187 6.187 6.187 Å, 139.68 139.68 58.33°
Element x y z (fractional)
Sc: 0.000 0.000 0.000
Tl: 0.250 0.750 0.500
Tl: 0.750 0.250 0.500
Br: 0.500 0.500 0.000

No. 6
DFT (GGA-PBEsol) results for an optimized crystal structure of BeSi2C.

Values from the calculation:
* total energy: -0.21419 Ha/atom
* symmetry: I-42d, No. 122

Cell: 5.524 5.524 5.524 Å, 126.94 126.94 78.34°
Element x y z (fractional)
Be: 0.000 0.000 0.000
Be: 0.750 0.250 0.500
Si: 0.177 0.625 0.052
Si: 0.375 0.427 0.552
Si: 0.573 0.125 0.948
Si: 0.875 0.823 0.448
C: 0.250 0.750 0.500
C: 0.500 0.500 0.000